1.
Computed, not measured: a geometry-optimized PmYMgBi structure at the PBE level of DFT.

The structure in CIF format:
```
data_PmYMgBi
_space_group_name_H-M_alt 'P 1'
_space_group_IT_number 1
_cell_length_a 5.4720
_cell_length_b 5.4720
_cell_length_c 5.4720
_cell_angle_alpha 60.00
_cell_angle_beta 60.00
_cell_angle_gamma 60.00
loop_
_space_group_symop_operation_xyz
'x,y,z'
loop_
_atom_site_label
_atom_site_type_symbol
_atom_site_fract_x
_atom_site_fract_y
_atom_site_fract_z
Pm1 Pm 0.0000 0.0000 0.0000
Y1 Y 0.5000 0.5000 0.5000
Mg1 Mg 0.7500 0.7500 0.7500
Bi1 Bi 0.2500 0.2500 0.2500
```

***

2.
# PBE PrMgBi2, relaxed
# Relative energy among the computed polymorphs in eV per atom: 0.000
data_PrMgBi2
_space_group_name_H-M_alt 'P 1'
_space_group_IT_number 1
_cell_length_a 4.6093
_cell_length_b 4.6093
_cell_length_c 11.2071
_cell_angle_alpha 90.00
_cell_angle_beta 90.00
_cell_angle_gamma 90.00
loop_
_space_group_symop_operation_xyz
'x,y,z'
loop_
_atom_site_label
_atom_site_type_symbol
_atom_site_fract_x
_atom_site_fract_y
_atom_site_fract_z
Pr1 Pr 0.2500 0.2500 0.2245
Pr2 Pr 0.7500 0.7500 0.7755
Mg1 Mg 0.2500 0.7500 0.5000
Mg2 Mg 0.7500 0.2500 0.5000
Bi1 Bi 0.2500 0.2500 0.6826
Bi2 Bi 0.2500 0.7500 0.0000
Bi3 Bi 0.7500 0.2500 0.0000
Bi4 Bi 0.7500 0.7500 0.3174

***

3.
# PBE PrMgBi2, relaxed
# Relative energy among the computed polymorphs in eV per atom: 0.048
data_PrMgBi2
_space_group_name_H-M_alt 'P 1'
_space_group_IT_number 1
_cell_length_a 5.1977
_cell_length_b 5.1977
_cell_length_c 4.3542
_cell_angle_alpha 90.00
_cell_angle_beta 90.00
_cell_angle_gamma 90.00
loop_
_space_group_symop_operation_xyz
'x,y,z'
loop_
_atom_site_label
_atom_site_type_symbol
_atom_site_fract_x
_atom_site_fract_y
_atom_site_fract_z
Pr1 Pr 0.0000 0.0000 0.0000
Mg1 Mg 0.5000 0.5000 0.0000
Bi1 Bi 0.0000 0.5000 0.5000
Bi2 Bi 0.5000 0.0000 0.5000

***

4.
# PBE Pr2MgBi, relaxed
# Relative energy among the computed polymorphs in eV per atom: 0.464
data_Pr2MgBi
_space_group_name_H-M_alt 'P 1'
_space_group_IT_number 1
_cell_length_a 12.1108
_cell_length_b 12.1108
_cell_length_c 12.1108
_cell_angle_alpha 17.03
_cell_angle_beta 17.03
_cell_angle_gamma 17.03
loop_
_space_group_symop_operation_xyz
'x,y,z'
loop_
_atom_site_label
_atom_site_type_symbol
_atom_site_fract_x
_atom_site_fract_y
_atom_site_fract_z
Pr1 Pr 0.0913 0.0913 0.0913
Pr2 Pr 0.9087 0.9087 0.9087
Mg1 Mg 0.5000 0.5000 0.5000
Bi1 Bi 0.0000 0.0000 0.0000

***

Number 1: energy relative to the elements -0.34 eV per atom, raw total energy -4.51 eV/atom. Number 2: energy relative to the elements -0.55 eV per atom, raw total energy -4.08 eV/atom. Number 3: energy relative to the elements -0.50 eV per atom, raw total energy -4.04 eV/atom. Number 4: energy relative to the elements -0.02 eV per atom, raw total energy -3.78 eV/atom.